This record from Alexandria describes crystalline CsTl2CdBr5 at its relaxed geometry. The functional is PBE.

abc: 10.310 10.310 10.310
angles: 127.50 127.50 77.44
Sites, in units of the cell vectors:
Cs 0.250 0.250 0.000
Cs 0.750 0.750 0.000
Tl 0.163 0.663 0.825
Tl 0.337 0.163 0.500
Tl 0.663 0.837 0.500
Tl 0.837 0.337 0.175
Cd 0.250 0.750 0.500
Cd 0.750 0.250 0.500
Br 0.000 0.000 0.000
Br 0.011 0.200 0.500
Br 0.200 0.700 0.189
Br 0.300 0.489 0.500
Br 0.489 0.989 0.189
Br 0.500 0.500 0.000
Br 0.511 0.011 0.811
Br 0.700 0.511 0.500
Br 0.800 0.300 0.811
Br 0.989 0.800 0.500

Calculated values
- DFT total energy (eV per atom) = -2.73
- DOS(E_F) (states/eV per cell) = 0.0
- uncorrected formation energy (eV per atom) = -1.074
- density (g/cm³) = 5.230